(1)
The following is a PBE calculation of a relaxed Pm3DyTl3Te8 crystal, from Alexandria.

Properties
- Formation energy (no corrections): -1.06 eV/atom
- E_tot: -4.47 eV per atom

Geometry as POSCAR:
```
Pm3DyTl3Te8
1.0
-8.6742 2.1280 0.5766
3.2685 -3.4487 -7.5953
-0.9518 -5.9355 7.5744
Tl Pm Te Dy
3 3 8 1
direct
0.0000 0.0000 0.0000
0.5000 0.5000 0.0000
0.0000 0.5000 0.0000
0.5000 0.5000 0.5000
0.0000 0.5000 0.5000
0.5000 0.0000 0.5000
0.2557 0.0189 0.2821
0.7408 0.4816 0.7223
0.7632 0.5264 0.2822
0.2368 0.4736 0.7178
0.2592 0.5184 0.2777
0.7443 0.9811 0.7179
0.7632 0.0189 0.2821
0.2368 0.9811 0.7179
0.0000 0.0000 0.5000
```

---

(2)
The following is a PBE calculation of a relaxed PmDy2Tl3Te6 crystal, from Alexandria.

Properties
- Formation energy (no corrections): -1.06 eV/atom
- E_tot: -4.39 eV per atom

Geometry as POSCAR:
```
PmDy2Tl3Te6
1.0
7.7628 -0.0006 -0.0002
-3.8801 6.7236 -0.0002
-1.2950 -2.2424 8.1848
Te Tl Pm Dy
6 3 1 2
direct
0.9280 0.5887 0.7844
0.0720 0.4113 0.2156
0.7319 0.7319 0.2140
0.5887 0.9280 0.7844
0.4113 0.0720 0.2156
0.2681 0.2681 0.7860
0.8352 0.1648 0.5000
0.5000 0.5000 0.5000
0.1648 0.8352 0.5000
0.0000 0.0000 0.0000
0.3331 0.6669 0.0000
0.6669 0.3331 0.0000
```